Compound: Hf2GaB
Source: Alexandria via LeMat-Bulk
Functional: GGA-PBE
Structure: optimized geometry

Cell: 6.806 6.806 6.017 Å, 90.00 90.00 90.00°
Space group I-42d (No. 122)
One atom of each set of equivalent atoms:
1 Hf 0.205 0.250 0.125 (multiplicity 8)
2 Ga 0.000 0.000 0.500 (multiplicity 4)
3 B 0.000 0.000 0.000 (multiplicity 4)

Results
Energy above the most stable polymorph in this dataset ... 0.436 eV per atom
VASP energy ... -7.436 eV/atom
Magnetization ... 0.00 μB per formula unit



Compound: AlVRe2
Source: Alexandria via LeMat-Bulk
Functional: GGA-PBE
Structure: optimized geometry

Cell: 2.680 4.351 11.148 Å, 90.00 90.00 90.00°
Space group Immm (No. 71)
One atom of each set of equivalent atoms:
1 Al 0.000 0.000 0.000 (multiplicity 2)
2 V 0.000 0.000 0.500 (multiplicity 2)
3 Re 0.000 0.000 0.214 (multiplicity 4)

Results
VASP energy ... -8.788 eV/atom
Magnetization ... 0.00 μB per formula unit



Compound: Pm2NdCdN
Source: Alexandria via LeMat-Bulk
Functional: GGA-PBE
Structure: optimized geometry

Cell: 4.996 4.996 5.050 Å, 90.00 90.00 90.00°
Space group P4/mmm (No. 123)
One atom of each set of equivalent atoms:
1 Pm 0.000 0.500 0.000 (multiplicity 2)
2 Nd 0.000 0.000 0.500 (multiplicity 1)
3 Cd 0.500 0.500 0.500 (multiplicity 1)
4 N 0.000 0.000 0.000 (multiplicity 1)

Results
Energy relative to the elements, uncorrected ... -0.72 eV per atom
VASP energy ... -5.425 eV/atom
Magnetization ... 0.00 μB per formula unit



> The lowest VASP energy belongs to which entry?

AlVRe2